DFT (GGA+U) results for NaMnClF2 after structural relaxation.

**Polymorph energy (0 for the lowest one)**: 0.000 eV/atom
**Space group**: No. 11
**Magnetization**: 10.00 μB/cell

abc: 4.9865 4.3255 8.4961
angles: 90.00 105.90 90.00
Closest atoms and distances in Å follow each position.
Positions (direct):
Na1 0.2429 0.2500 0.4908  2 F 2.24
Na2 0.7571 0.7500 0.5092  2 F 2.24
Mn1 0.0722 0.7500 0.1541  4 F 2.17-2.20
Mn2 0.9278 0.2500 0.8459  4 F 2.17-2.20
Cl1 0.4128 0.2500 0.8143  2 Mn 2.50-2.51, 1 Na 2.65
Cl2 0.5872 0.7500 0.1857  2 Mn 2.50-2.51, 1 Na 2.65
F1 0.0543 0.2500 0.1151  3 Mn 2.19-2.20
F2 0.1996 0.7500 0.4196  1 Mn 2.17, 2 Na 2.24
F3 0.8004 0.2500 0.5804  1 Mn 2.17, 2 Na 2.24
F4 0.9457 0.7500 0.8849  3 Mn 2.19-2.20